Computed, not measured: a relaxed structure of EuCl3 at the PBE level of DFT.

Properties
Raw total energy   -5.80 eV/atom
Total moment   5.98 μB/f.u.

abc: 7.6137 7.6137 4.2183
angles: 90.00 90.00 120.00
Space group P6_3/m (No. 176)
Unique sites:
Eu: 0.3333 0.6667 0.2500 (multiplicity 2)
Cl: 0.0867 0.3924 0.7500 (multiplicity 6)

***

Computed, not measured: a relaxed structure of K3AcO3 at the PBE level of DFT.

Properties
Raw total energy   -5.05 eV/atom
Total moment   0.00 μB/f.u.

abc: 13.756 7.601 7.838
angles: 90.00 124.71 90.00
Space group C2/m (No. 12)
Unique sites:
K: 0.000 0.232 0.000 (multiplicity 4)
K: 0.000 0.232 0.500 (multiplicity 4)
K: 0.221 0.000 0.470 (multiplicity 4)
Ac: 0.225 0.000 0.975 (multiplicity 4)
O: 0.019 0.000 0.769 (multiplicity 4)
O: 0.250 0.250 0.210 (multiplicity 8)

***

Computed, not measured: a relaxed structure of SmDyPb at the PBE level of DFT.

Properties
ΔE_f   -0.4396 eV per atom
Raw total energy   -4.78 eV/atom
Total moment   0.00 μB/f.u.

abc: 6.518 6.518 8.713
angles: 90.00 90.03 90.00
Space group C2/m (No. 12)
Unique sites:
Sm: 0.250 0.000 0.156 (multiplicity 4)
Dy: 0.000 0.250 0.500 (multiplicity 4)
Pb: 0.250 0.000 0.781 (multiplicity 4)

***

Computed, not measured: a relaxed structure of SrScAs2 at the PBE level of DFT.

Properties
ΔE_f   -0.9085 eV per atom
Raw total energy   -5.24 eV/atom
Total moment   0.00 μB/f.u.

abc: 3.483 3.870 15.195
angles: 90.00 90.00 90.00
Space group Imm2 (No. 44)
Unique sites:
Sr: 0.000 0.000 0.000 (multiplicity 2)
Sc: 0.000 0.500 0.252 (multiplicity 2)
As: 0.000 0.000 0.384 (multiplicity 2)
As: 0.000 0.500 0.674 (multiplicity 2)

***

Computed, not measured: a relaxed structure of Sm4TmGa2 at the PBE level of DFT.

Properties
ΔE_f   -0.2316 eV per atom
Raw total energy   -4.43 eV/atom
Total moment   0.00 μB/f.u.

abc: 6.784 7.724 9.061
angles: 73.04 70.61 67.43
Space group P1 (No. 1)
Unique sites:
Sm: 0.000 0.000 0.000 (multiplicity 1)
Sm: 0.001 0.525 0.322 (multiplicity 1)
Sm: 0.007 0.478 0.897 (multiplicity 1)
Sm: 0.062 0.019 0.415 (multiplicity 1)
Sm: 0.383 0.730 0.743 (multiplicity 1)
Sm: 0.419 0.472 0.498 (multiplicity 1)
Sm: 0.585 0.986 0.374 (multiplicity 1)
Sm: 0.605 0.053 0.772 (multiplicity 1)
Tm: 0.472 0.315 0.042 (multiplicity 1)
Tm: 0.493 0.733 0.119 (multiplicity 1)
Ga: 0.194 0.164 0.638 (multiplicity 1)
Ga: 0.759 0.326 0.211 (multiplicity 1)
Ga: 0.788 0.373 0.692 (multiplicity 1)
Ga: 0.874 0.710 0.607 (multiplicity 1)

***

Computed, not measured: a relaxed structure of Cs3CuAu at the PBE level of DFT.

Properties
ΔE_f   0.1837 eV per atom
Raw total energy   -1.80 eV/atom
Total moment   0.00 μB/f.u.

abc: 6.883 6.883 6.883
angles: 90.00 90.00 90.00
Space group Pm-3m (No. 221)
Unique sites:
Cs: 0.000 0.000 0.500 (multiplicity 3)
Cu: 0.500 0.500 0.500 (multiplicity 1)
Au: 0.000 0.000 0.000 (multiplicity 1)

***

Computed, not measured: a relaxed structure of Zn3Ag5Au3 at the PBE level of DFT.

Properties
ΔE_f   0.0475 eV per atom
Raw total energy   -2.49 eV/atom
Total moment   0.00 μB/f.u.

abc: 9.0861 9.0861 2.8589
angles: 90.00 90.00 120.00
Space group P-62m (No. 189)
Unique sites:
Zn: 0.0000 0.8383 0.0000 (multiplicity 3)
Ag: 0.0000 0.3326 0.0000 (multiplicity 3)
Ag: 0.3333 0.6667 0.0000 (multiplicity 2)
Au: 0.0000 0.5983 0.5000 (multiplicity 3)

***

Computed, not measured: a relaxed structure of ErTm3Ir2 at the PBE level of DFT.

Properties
ΔE_f   -0.7847 eV per atom
Raw total energy   -6.73 eV/atom
Total moment   0.00 μB/f.u.

abc: 4.523 8.711 7.182
angles: 90.00 90.00 90.00
Space group Pmc2_1 (No. 26)
Unique sites:
Er: 0.000 0.087 0.000 (multiplicity 2)
Tm: 0.000 0.329 0.632 (multiplicity 2)
Tm: 0.500 0.172 0.348 (multiplicity 2)
Tm: 0.500 0.412 0.979 (multiplicity 2)
Ir: 0.000 0.346 0.234 (multiplicity 2)
Ir: 0.500 0.154 0.745 (multiplicity 2)

***

Computed, not measured: a relaxed structure of Pr5Y4In at the PBE level of DFT.

Properties
ΔE_f   0.1300 eV per atom
Raw total energy   -5.12 eV/atom
Total moment   0.00 μB/f.u.

abc: 10.720 10.720 6.044
angles: 90.00 90.00 90.00
Space group I4mm (No. 107)
Unique sites:
Pr: 0.000 0.000 0.000 (multiplicity 2)
Pr: 0.188 0.188 0.277 (multiplicity 8)
Y: 0.000 0.318 0.783 (multiplicity 8)
In: 0.000 0.000 0.521 (multiplicity 2)

***

Computed, not measured: a relaxed structure of Sc2TlZn at the PBE level of DFT.

Properties
ΔE_f   -0.2500 eV per atom
Raw total energy   -4.33 eV/atom
Total moment   0.00 μB/f.u.

abc: 4.451 3.493 11.228
angles: 90.00 90.00 90.00
Space group Amm2 (No. 38)
Unique sites:
Sc: 0.000 0.000 0.000 (multiplicity 2)
Sc: 0.500 0.000 0.323 (multiplicity 2)
Tl: 0.500 0.000 0.591 (multiplicity 2)
Zn: 0.000 0.000 0.748 (multiplicity 2)

***

Which value of total moment does entry 3 give? 0.00 μB/f.u.